# NdTmPu GGA-PBE optimized geometry
data_NdTmPu
_chemical_formula_sum 'Nd2 Tm2 Pu2'
_space_group_name_H-M_alt 'I 4 m m'
_space_group_IT_number 107
_space_group_name_Hall 'I 4 -2'
_cell_length_a 3.5298
_cell_length_b 3.5298
_cell_length_c 14.8606
_cell_angle_alpha 90.00
_cell_angle_beta 90.00
_cell_angle_gamma 90.00
loop_
_atom_site_label
_atom_site_type_symbol
_atom_site_fract_x
_atom_site_fract_y
_atom_site_fract_z
_atom_site_occupancy
Nd1 Nd 0.0000 0.0000 0.0000 1
Tm1 Tm 0.0000 0.0000 0.6729 1
Pu1 Pu 0.0000 0.0000 0.3326 1
# energy of formation from the pure elements = 0.4 eV per formula unit
# VASP energy = -7.74 eV/atom
# N(E_F) = 14.1 states/eV/cell
# magnetic moment = 2.045 μB per atom
# E above lowest polymorph = 0 meV/atom
# volume = 185.2 Å³ per cell

---

# Nd4Tm3Pu GGA-PBE optimized geometry
data_Nd4Tm3Pu
_chemical_formula_sum 'Nd8 Tm6 Pu2'
_space_group_name_H-M_alt 'I m m m'
_space_group_IT_number 71
_space_group_name_Hall '-I 2 2'
_cell_length_a 3.4644
_cell_length_b 11.6034
_cell_length_c 12.9290
_cell_angle_alpha 90.00
_cell_angle_beta 90.00
_cell_angle_gamma 90.00
loop_
_atom_site_label
_atom_site_type_symbol
_atom_site_fract_x
_atom_site_fract_y
_atom_site_fract_z
_atom_site_occupancy
Nd1 Nd 0.0000 0.2489 0.1306 1
Tm1 Tm 0.0000 0.0000 0.5000 1
Tm2 Tm 0.0000 0.5000 0.2669 1
Pu1 Pu 0.0000 0.0000 0.0000 1
# energy of formation from the pure elements = 1.3 eV per formula unit
# VASP energy = -5.69 eV/atom
# N(E_F) = 35.0 states/eV/cell
# magnetic moment = 0.797 μB per atom
# volume = 519.7 Å³ per cell

---

# Nd2Y6Tm3Pu GGA-PBE optimized geometry
data_Nd2Y6Tm3Pu
_chemical_formula_sum 'Nd4 Y12 Tm6 Pu2'
_space_group_name_H-M_alt 'C 1 2/m 1'
_space_group_IT_number 12
_cell_length_a 6.1687
_cell_length_b 10.6916
_cell_length_c 11.7559
_cell_angle_alpha 90.00
_cell_angle_beta 100.13
_cell_angle_gamma 90.00
loop_
_space_group_symop_operation_xyz
'x,y,z'
'-x,-y,-z'
'-x,y,-z'
'x,-y,z'
'x+1/2,y+1/2,z'
'-x+1/2,-y+1/2,-z'
'-x+1/2,y+1/2,-z'
'x+1/2,-y+1/2,z'
loop_
_atom_site_label
_atom_site_type_symbol
_atom_site_fract_x
_atom_site_fract_y
_atom_site_fract_z
_atom_site_occupancy
Nd1 Nd 0.0000 0.1665 0.0000 1
Y1 Y 0.2457 0.5000 0.7476 1
Y2 Y 0.2485 0.3353 0.2522 1
Tm1 Tm 0.0000 0.0000 0.5000 1
Tm2 Tm 0.0000 0.3332 0.5000 1
Pu1 Pu 0.0000 0.5000 0.0000 1
# energy of formation from the pure elements = 0.7 eV per formula unit
# VASP energy = -6.28 eV/atom
# N(E_F) = 54.1 states/eV/cell
# magnetic moment = 0.516 μB per atom
# volume = 763.3 Å³ per cell

---

# Nd3Y6Tm2Pu GGA-PBE optimized geometry
data_Nd3Y6Tm2Pu
_chemical_formula_sum 'Nd6 Y12 Tm4 Pu2'
_space_group_name_H-M_alt 'C 1 2/m 1'
_space_group_IT_number 12
_cell_length_a 6.1890
_cell_length_b 10.7215
_cell_length_c 11.7848
_cell_angle_alpha 90.00
_cell_angle_beta 100.10
_cell_angle_gamma 90.00
loop_
_space_group_symop_operation_xyz
'x,y,z'
'-x,-y,-z'
'-x,y,-z'
'x,-y,z'
'x+1/2,y+1/2,z'
'-x+1/2,-y+1/2,-z'
'-x+1/2,y+1/2,-z'
'x+1/2,-y+1/2,z'
loop_
_atom_site_label
_atom_site_type_symbol
_atom_site_fract_x
_atom_site_fract_y
_atom_site_fract_z
_atom_site_occupancy
Nd1 Nd 0.0000 0.0000 0.0000 1
Nd2 Nd 0.0000 0.3328 0.0000 1
Y1 Y 0.2459 0.3352 0.7439 1
Y2 Y 0.2485 0.5000 0.2560 1
Tm1 Tm 0.0000 0.1666 0.5000 1
Pu1 Pu 0.0000 0.5000 0.5000 1
# energy of formation from the pure elements = 0.6 eV per formula unit
# VASP energy = -6.32 eV/atom
# N(E_F) = 47.5 states/eV/cell
# magnetic moment = 0.552 μB per atom
# volume = 769.9 Å³ per cell